5
Lattice="4.795 0.000 0.000 0.000 4.795 0.000 0.000 0.000 4.795" Properties=species:S:1:pos:R:3 comment="HfTi3Se meta-GGA SCAN PBEsol geometry" rho_g_cm3=6.04 spacegroup="No. 221" dos_ef_per_ev_fu=4.73 energy_ev_per_atom=-25.076 magnetic_moment_mub_per_cell=3.42 pbc="T T T"
Hf 0.000 0.000 0.000
Se 2.398 2.398 2.398
Ti 0.000 2.398 0.000
Ti 0.000 0.000 2.398
Ti 2.398 0.000 0.000